Record 1
A geometry-optimized NpSnOsRu structure. Source: Alexandria via LeMat-Bulk, functional GGA-PBE.

```
4
Lattice="0.000 3.317 3.317 3.317 0.000 3.317 3.317 3.317 0.000" Properties=species:S:1:pos:R:3 pbc="T T T"
Np 0.000 0.000 0.000
Sn 3.317 3.317 3.317
Os 1.658 1.658 1.658
Ru 4.975 4.975 4.975
```

The calculation puts the energy relative to the elements at 0.000 eV/atom. Its symmetry is F-43m (216). The theoretical density comes out at 14.724 g cm⁻³. Its crystal system is cubic. The uncorrected energy comes out at -37.45 eV/cell.


Record 2
A geometry-optimized La2Pr4Sn3H2 structure. Source: Alexandria via LeMat-Bulk, functional GGA-PBE.

```
11
Lattice="-2.447 2.447 13.076 2.447 -2.447 13.076 2.447 2.447 -13.076" Properties=species:S:1:pos:R:3 pbc="T T T"
La 0.000 0.000 5.219
La 0.000 0.000 20.934
Pr 2.447 0.000 2.142
Pr 2.447 0.000 10.934
Pr 0.000 2.447 2.142
Pr 0.000 2.447 10.934
Sn 0.000 0.000 8.552
Sn 0.000 0.000 13.076
Sn 0.000 0.000 17.601
H 0.000 0.000 2.658
H 0.000 0.000 23.494
```

Its symmetry is I4/mmm (139). The theoretical density comes out at 6.358 g cm⁻³. Its crystal system is tetragonal. The uncorrected energy comes out at -54.04 eV/cell.


Please write out number 2 again, unchanged.
A geometry-optimized La2Pr4Sn3H2 structure. Source: Alexandria via LeMat-Bulk, functional GGA-PBE.

```
11
Lattice="-2.447 2.447 13.076 2.447 -2.447 13.076 2.447 2.447 -13.076" Properties=species:S:1:pos:R:3 pbc="T T T"
La 0.000 0.000 5.219
La 0.000 0.000 20.934
Pr 2.447 0.000 2.142
Pr 2.447 0.000 10.934
Pr 0.000 2.447 2.142
Pr 0.000 2.447 10.934
Sn 0.000 0.000 8.552
Sn 0.000 0.000 13.076
Sn 0.000 0.000 17.601
H 0.000 0.000 2.658
H 0.000 0.000 23.494
```

Its symmetry is I4/mmm (139). The theoretical density comes out at 6.358 g cm⁻³. Its crystal system is tetragonal. The uncorrected energy comes out at -54.04 eV/cell.


> Which formula does entry 2 have?

La2Pr4Sn3H2


> Which of these has the lowest uncorrected energy?

La2Pr4Sn3H2


> The lowest uncorrected energy belongs to which entry?

La2Pr4Sn3H2